(1)
VASP calculation (PBE) on a relaxed Tb2PmSm6Th3 crystal.

a = 6.2458 Å, b = 6.2458 Å, c = 11.9576 Å
α = 95.01°, β = 95.01°, γ = 119.95°
Last column: nearest neighbours and their distance in Å.
Element x y z (fractional)
Tb: 0.3333 0.6667 0.0000  3 Tb 3.60-3.61, 3 Pm 3.61, 6 Sm 3.65
Tb: 0.6667 0.3333 0.0000  3 Tb 3.60-3.61, 3 Pm 3.61, 6 Sm 3.65
Pm: 0.0000 0.0000 0.0000  6 Tb 3.61, 6 Sm 3.65-3.66
Sm: 0.9152 0.5815 0.7451  3 Th 3.56, 6 Sm 3.60-3.61, 2 Tb 3.65, 1 Pm 3.65
Sm: 0.7511 0.7511 0.2549  3 Th 3.56, 6 Sm 3.60-3.61, 2 Tb 3.65, 1 Pm 3.66
Sm: 0.0848 0.4185 0.2549  3 Th 3.56, 6 Sm 3.60-3.61, 2 Tb 3.65, 1 Pm 3.65
Sm: 0.5815 0.9152 0.7451  3 Th 3.56, 6 Sm 3.60-3.61, 2 Tb 3.65, 1 Pm 3.65
Sm: 0.2489 0.2489 0.7451  3 Th 3.56, 6 Sm 3.60-3.61, 2 Tb 3.65, 1 Pm 3.66
Sm: 0.4185 0.0848 0.2549  3 Th 3.56, 6 Sm 3.60-3.61, 2 Tb 3.65, 1 Pm 3.65
Th: 0.1666 0.8334 0.5000  6 Sm 3.56, 6 Th 3.60-3.61
Th: 0.8334 0.1666 0.5000  6 Sm 3.56, 6 Th 3.60-3.61
Th: 0.5000 0.5000 0.5000  6 Sm 3.56, 6 Th 3.61

## Properties
As for the space group: No. 12. The formation energy comes out at 0.031 eV per atom. The density of states at the Fermi level comes out at 1.57 states/eV/atom.

=====

(2)
VASP calculation (PBE) on a relaxed Tb2Pm6Sm3Tl crystal.

a = 6.2429 Å, b = 6.2429 Å, c = 11.8610 Å
α = 95.12°, β = 95.12°, γ = 120.18°
Last column: nearest neighbours and their distance in Å.
Element x y z (fractional)
Tb: 0.3342 0.6658 0.0000  6 Pm 3.55-3.56, 3 Tb 3.59-3.61, 3 Tl 3.59-3.62
Tb: 0.6658 0.3342 0.0000  6 Pm 3.55-3.56, 3 Tb 3.59-3.61, 3 Tl 3.59-3.62
Pm: 0.9190 0.5919 0.7545  1 Tl 3.51, 6 Pm 3.53-3.64, 2 Tb 3.55-3.56, 3 Sm 3.61-3.64
Pm: 0.7545 0.7545 0.2476  6 Pm 3.53-3.64, 1 Tl 3.54, 2 Tb 3.56, 3 Sm 3.60-3.63
Pm: 0.0810 0.4081 0.2455  1 Tl 3.51, 6 Pm 3.53-3.64, 2 Tb 3.55-3.56, 3 Sm 3.61-3.64
Pm: 0.5919 0.9190 0.7545  1 Tl 3.51, 6 Pm 3.53-3.64, 2 Tb 3.55-3.56, 3 Sm 3.61-3.64
Pm: 0.2455 0.2455 0.7524  6 Pm 3.53-3.64, 1 Tl 3.54, 2 Tb 3.56, 3 Sm 3.60-3.63
Pm: 0.4081 0.0810 0.2455  1 Tl 3.51, 6 Pm 3.53-3.64, 2 Tb 3.55-3.56, 3 Sm 3.61-3.64
Sm: 0.1684 0.8316 0.5000  6 Sm 3.58-3.64, 6 Pm 3.60-3.64
Sm: 0.8316 0.1684 0.5000  6 Sm 3.58-3.64, 6 Pm 3.60-3.64
Sm: 0.5000 0.5000 0.5000  6 Sm 3.59-3.61, 6 Pm 3.61-3.63
Tl: 0.0000 0.0000 0.0000  6 Pm 3.51-3.54, 6 Tb 3.59-3.62

## Properties
As for the space group: No. 12. The formation energy comes out at -0.014 eV per atom. The density of states at the Fermi level comes out at 1.22 states/eV/atom.